[1]
Computed, not measured: a geometry-optimized NdThCuPt structure at the GGA-PBE level of DFT.

a b c (Å): 5.0967 5.0967 5.0967
angles (deg): 60.00 60.00 60.00
Fractional coordinates of all 4 atoms:
Th: 0.7500 0.7500 0.7500
Nd: 0.2500 0.2500 0.2500
Pt: 0.0000 0.0000 0.0000
Cu: 0.5000 0.5000 0.5000

Properties
ΔE_f: -0.5652 eV per atom
excess energy over the best structure of this formula in the dataset: 130 meV/atom
electronic total energy: -6.15 eV/atom
calculated volume: 93.6 Å³ per cell

***

[2]
Computed, not measured: a geometry-optimized NaPSeN2 structure at the GGA-PBE level of DFT.

a b c (Å): 3.5744 3.5744 5.2723
angles (deg): 90.00 90.00 90.00
Last column: magnetic moment on the atom in μB.
Fractional coordinates of all 5 atoms:
N: 0.0000 0.5000 0.0000  0.33
N: 0.5000 0.0000 0.0000  0.33
Na: 0.5000 0.5000 0.5000  0.01
Se: 0.0000 0.0000 0.5000  0.30
P: 0.0000 0.0000 0.0000  -0.03

Properties
E_form (uncorrected): 0.728 eV/atom
excess energy over the best structure of this formula in the dataset: 0 meV/atom
electronic total energy: -4.64 eV/atom
calculated volume: 67.4 Å³ per cell

***

[3]
Computed, not measured: a geometry-optimized CoRh2Br2 structure at the GGA-PBE level of DFT.

a b c (Å): 4.3016 4.3016 6.1978
angles (deg): 69.69 69.69 90.00
Last column: magnetic moment on the atom in μB.
Fractional coordinates of all 5 atoms:
Rh: 0.3868 0.3868 0.2264  -0.01
Rh: 0.6132 0.6132 0.7736  -0.01
Br: 0.7500 0.2500 0.5000  -0.01
Br: 0.2500 0.7500 0.5000  -0.01
Co: 0.0000 0.0000 0.0000  2.14

Properties
E_form (uncorrected): 1.055 eV/atom
excess energy over the best structure of this formula in the dataset: 413 meV/atom
electronic total energy: -3.98 eV/atom
calculated volume: 99.9 Å³ per cell

***

[4]
Computed, not measured: a geometry-optimized ScReNi structure at the GGA-PBE level of DFT.

a b c (Å): 4.1807 4.1807 4.1807
angles (deg): 60.00 60.00 60.00
Last column: magnetic moment on the atom in μB.
Fractional coordinates of all 3 atoms:
Re: 0.0000 0.0000 0.0000  0.58
Ni: 0.2500 0.2500 0.2500  0.42
Sc: 0.5000 0.5000 0.5000  0.05

Properties
ΔE_f: 0.3844 eV per atom
excess energy over the best structure of this formula in the dataset: 439 meV/atom
electronic total energy: -7.80 eV/atom
calculated volume: 51.7 Å³ per cell

***

Repeat the first record exactly.
Computed, not measured: a geometry-optimized NdThCuPt structure at the GGA-PBE level of DFT.

a b c (Å): 5.0967 5.0967 5.0967
angles (deg): 60.00 60.00 60.00
Fractional coordinates of all 4 atoms:
Th: 0.7500 0.7500 0.7500
Nd: 0.2500 0.2500 0.2500
Pt: 0.0000 0.0000 0.0000
Cu: 0.5000 0.5000 0.5000

Properties
ΔE_f: -0.5652 eV per atom
excess energy over the best structure of this formula in the dataset: 130 meV/atom
electronic total energy: -6.15 eV/atom
calculated volume: 93.6 Å³ per cell

***

Which formula does entry 2 have? NaPSeN2